Computed, not measured: a geometry-optimized AcCu2F8 structure at the PBE-GGA level of DFT.

```
AcCu2F8
1.0
4.704 -3.899 0.000
4.704 3.899 0.000
-0.785 0.000 4.260
Ac Cu F
1 2 8
Direct
0.000 0.000 0.000
0.380 0.380 0.717
0.620 0.620 0.283
0.143 0.623 0.748
0.171 0.171 0.640
0.377 0.857 0.252
0.406 0.406 0.229
0.594 0.594 0.771
0.623 0.143 0.748
0.829 0.829 0.360
0.857 0.377 0.252
```

## Properties
* ΔE_f (raw): -2.377 eV per atom
* ΔE to the lowest computed polymorph: 0.0 meV per atom
* VASP energy: -4.86 eV/atom
* symmetry: C2/m

***

Computed, not measured: a geometry-optimized SrZnH2F8 structure at the PBE-GGA level of DFT.

```
SrZnH2F8
1.0
3.827 -2.392 0.000
3.827 2.392 0.000
-0.088 0.000 7.981
Sr Zn H F
1 1 2 8
Direct
0.000 0.000 0.000
0.000 0.000 0.500
0.498 0.498 0.296
0.502 0.502 0.704
0.247 0.247 0.500
0.258 0.737 0.291
0.263 0.742 0.709
0.350 0.350 0.998
0.650 0.650 0.002
0.737 0.258 0.291
0.742 0.263 0.709
0.753 0.753 0.500
```

## Properties
* VASP energy: -4.05 eV/atom
* symmetry: C2/m

***

Computed, not measured: a geometry-optimized LiAlGe structure at the PBE-GGA level of DFT.

```
LiAlGe
1.0
-2.101 6.409 3.103
2.101 -6.409 3.103
2.101 6.409 -3.103
Li Al Ge
3 3 3
Direct
0.000 0.000 0.000
0.162 0.501 0.661
0.841 0.501 0.339
0.324 0.998 0.326
0.482 0.482 0.000
0.672 0.998 0.674
0.092 0.262 0.830
0.432 0.262 0.170
0.722 0.222 0.500
```

## Properties
* ΔE_f: -19.7 kJ/mol of atoms
* VASP energy: -3.63 eV/atom
* symmetry: Imm2

***

Look up the VASP energy of the third one.
-3.63 eV/atom

***

Among the records above, which one has the lowest VASP energy?
AcCu2F8

***

What is the VASP energy in the third record?
-3.63 eV/atom

***

Which formula does entry 2 have?
SrZnH2F8